Entry 1:
An optimized crystal structure of LaPmHgTe. Source: the Alexandria database, functional PBE.

a b c (Å): 4.492 4.492 6.447
angles (deg): 90.00 90.00 90.00
Atoms (fractional coordinates):
Hg 0.000 0.000 0.000
Pm 0.000 0.000 0.500
Te 0.500 0.500 0.500
La 0.500 0.500 0.000

- Crystal system: tetragonal
- Formation energy from raw total energies: -929 meV/atom
- Space-group type: P4/mmm



Entry 2:
An optimized crystal structure of PIr2Se. Source: the Alexandria database, functional PBE.

a b c (Å): 2.927 2.927 7.050
angles (deg): 90.00 90.00 90.00
Atoms (fractional coordinates):
Ir 0.000 0.000 0.200
Ir 0.000 0.000 0.800
P 0.500 0.500 0.000
Se 0.500 0.500 0.500

- Crystal system: tetragonal
- Formation energy from raw total energies: 219 meV/atom
- Space-group type: P4/mmm



Number 1: final energy -4.21 eV per atom, density of states at the Fermi level 3.35 states/eV/cell, total magnetization 0.000 μB/f.u.. Number 2: final energy -6.44 eV per atom, density of states at the Fermi level 2.21 states/eV/cell, total magnetization 0.000 μB/f.u..